First-principles (GGA+U) data for Sb2MoF8 after structural relaxation, as listed in the Alexandria database.

The value obtained for the total energy is -5.014 eV/atom.

The space group is C2/m (No. 12) and the conventional cell measures 10.855, 7.273 and 5.349 Å, with angles of 90.00, 112.67 and 90.00 degrees. The asymmetric unit holds Sb at (0.166, 0.000, 0.304), Mo at (0.000, 0.500, 0.000), F at (0.091, 0.000, 0.898), F at (0.149, 0.295, 0.231) and F at (0.158, 0.500, 0.719).